No. 1
A PBEsol-optimized structure of TcNi5, computed with SCAN.

Computed properties:
Energy of formation from the pure elements, meV per atom: 76
Energy above the most stable polymorph in this dataset, eV/atom: 0.039
Crystal system: orthorhombic

Unit cell a=2.502 b=4.054 c=6.611 alpha=90.00 beta=100.91 gamma=90.00
Last column: magnetic moment on the atom in μB.
Fractional coordinates of all 6 atoms:
1 Ni 0.001 0.000 0.002  0.54
2 Ni 0.666 0.000 0.332  0.94
3 Ni 0.329 0.000 0.657  0.41
4 Ni 0.559 0.500 0.118  0.56
5 Ni 0.221 0.500 0.442  0.63
6 Tc 0.891 0.500 0.782  0.33

No. 2
A PBEsol-optimized structure of Tc3Ni, computed with SCAN.

Computed properties:
Energy of formation from the pure elements, meV per atom: -13
Energy above the most stable polymorph in this dataset, eV/atom: 0.093
Crystal system: orthorhombic

Unit cell a=2.686 b=4.220 c=4.615 alpha=90.00 beta=90.00 gamma=90.00
Fractional coordinates of all 4 atoms:
1 Ni 0.000 0.000 0.995
2 Tc 0.000 0.500 0.326
3 Tc 0.500 0.000 0.505
4 Tc 0.500 0.500 0.840

No. 3
A PBEsol-optimized structure of Tc3Ni, computed with SCAN.

Computed properties:
Energy of formation from the pure elements, meV per atom: 205
Energy above the most stable polymorph in this dataset, eV/atom: 0.311
Crystal system: trigonal

Unit cell a=2.557 b=4.970 c=4.970 alpha=117.12 beta=99.87 gamma=99.87
Fractional coordinates of all 4 atoms:
1 Ni 0.000 0.000 0.000
2 Tc 0.500 0.000 0.500
3 Tc 0.000 0.500 0.500
4 Tc 0.500 0.500 0.000

No. 4
A PBEsol-optimized structure of Tc3Ni, computed with SCAN.

Computed properties:
Energy of formation from the pure elements, meV per atom: 191
Energy above the most stable polymorph in this dataset, eV/atom: 0.297
Crystal system: cubic

Unit cell a=4.216 b=4.216 c=4.216 alpha=60.00 beta=60.00 gamma=60.00
Fractional coordinates of all 4 atoms:
1 Ni 0.000 0.000 0.000
2 Tc 0.750 0.750 0.750
3 Tc 0.500 0.500 0.500
4 Tc 0.250 0.250 0.250

No. 5
A PBEsol-optimized structure of Tc5Ni, computed with SCAN.

Computed properties:
Energy of formation from the pure elements, meV per atom: 12
Energy above the most stable polymorph in this dataset, eV/atom: 0.057
Crystal system: monoclinic

Unit cell a=2.707 b=5.041 c=6.302 alpha=103.63 beta=90.00 gamma=105.57
Fractional coordinates of all 6 atoms:
1 Ni 0.999 0.998 0.000
2 Tc 0.665 0.330 0.331
3 Tc 0.338 0.676 0.668
4 Tc 0.391 0.782 0.272
5 Tc 0.055 0.109 0.615
6 Tc 0.719 0.438 0.947

No. 6
A PBEsol-optimized structure of Tc3Ni, computed with SCAN.

Computed properties:
Energy of formation from the pure elements, meV per atom: 2633
Energy above the most stable polymorph in this dataset, eV/atom: 2.738
Crystal system: cubic

Unit cell a=4.366 b=4.366 c=4.366 alpha=90.00 beta=90.00 gamma=90.00
Fractional coordinates of all 4 atoms:
1 Ni 0.000 0.000 0.000
2 Tc 0.500 0.000 0.000
3 Tc 0.000 0.500 0.000
4 Tc 0.000 0.000 0.500

No. 7
A PBEsol-optimized structure of Tc6Ni7, computed with SCAN.

Computed properties:
Energy of formation from the pure elements, meV per atom: 11
Crystal system: trigonal

Unit cell a=4.618 b=4.618 c=8.769 alpha=74.73 beta=74.73 gamma=60.00
Last column: magnetic moment on the atom in μB.
Fractional coordinates of all 13 atoms:
1 Ni 0.409 0.913 0.269  0.68
2 Ni 0.409 0.409 0.269  0.68
3 Ni 0.913 0.409 0.269  0.68
4 Ni 0.591 0.087 0.731  0.68
5 Ni 0.087 0.591 0.731  0.68
6 Ni 0.591 0.591 0.731  0.68
7 Ni 0.500 0.500 0.500  0.65
8 Tc 0.953 0.953 0.142  0.35
9 Tc 0.047 0.047 0.858  0.35
10 Tc 0.850 0.850 0.450  0.35
11 Tc 0.150 0.150 0.550  0.35
12 Tc 0.667 0.667 0.999  0.26
13 Tc 0.333 0.333 0.001  0.26

No. 8
A PBEsol-optimized structure of TcNi3, computed with SCAN.

Computed properties:
Energy of formation from the pure elements, meV per atom: 48
Crystal system: orthorhombic

Unit cell a=4.127 b=4.341 c=4.980 alpha=90.00 beta=90.00 gamma=90.00
Fractional coordinates of all 8 atoms:
1 Ni 0.500 0.339 0.000
2 Ni 0.000 0.162 0.748
3 Ni 0.500 0.838 0.752
4 Ni 0.000 0.661 0.500
5 Ni 0.000 0.162 0.252
6 Ni 0.500 0.838 0.248
7 Tc 0.000 0.661 0.000
8 Tc 0.500 0.339 0.500